K6CdAu3: optimized geometry, GGA-PBE.

E_form (meV/atom): -146.0

Cell: 6.7549 10.0774 10.5145 Å, 90.97 90.00 90.00°
Closest atoms and distances in Å follow each position.
Atoms (fractional coordinates):
1 K 0.9295 0.3435 0.0783  2 Au 3.41-3.44, 1 Cd 3.58, 3 K 3.65-3.71
2 K 0.9497 0.3241 0.4251  3 Au 3.39-3.77, 1 Cd 3.60, 2 K 3.65-3.66
3 K 0.7580 0.1666 0.7407  3 Au 3.43-3.47, 1 Cd 3.62, 2 K 3.78
4 K 0.2420 0.8334 0.2593  3 Au 3.43-3.47, 1 Cd 3.62, 2 K 3.78
5 K 0.0503 0.6759 0.5749  3 Au 3.39-3.77, 1 Cd 3.60, 2 K 3.65-3.66
6 K 0.0705 0.6565 0.9217  2 Au 3.41-3.44, 1 Cd 3.58, 3 K 3.65-3.71
7 K 0.5705 0.8435 0.5783  2 Au 3.41-3.44, 1 Cd 3.58, 3 K 3.65-3.71
8 K 0.5503 0.8241 0.9251  3 Au 3.39-3.77, 1 Cd 3.60, 2 K 3.65-3.66
9 K 0.7420 0.6666 0.2407  3 Au 3.43-3.47, 1 Cd 3.62, 2 K 3.78
10 K 0.2580 0.3334 0.7593  3 Au 3.43-3.47, 1 Cd 3.62, 2 K 3.78
11 K 0.4497 0.1759 0.0749  3 Au 3.39-3.77, 1 Cd 3.60, 2 K 3.65-3.66
12 K 0.4295 0.1565 0.4217  2 Au 3.41-3.44, 1 Cd 3.58, 3 K 3.65-3.71
13 Cd 0.5000 0.5000 0.5000  2 Au 2.95
14 Cd 0.0000 0.0000 0.0000  2 Au 2.95
15 Au 0.3064 0.4920 0.2486  1 Au 2.93, 1 Cd 2.95
16 Au 0.5000 0.5000 0.0000  2 Au 2.93
17 Au 0.6936 0.5080 0.7514  1 Au 2.93, 1 Cd 2.95
18 Au 0.1936 0.9920 0.7486  1 Au 2.93, 1 Cd 2.95
19 Au 0.0000 0.0000 0.5000  2 Au 2.93
20 Au 0.8064 0.0080 0.2514  1 Au 2.93, 1 Cd 2.95


Pr3OsN5: optimized geometry, GGA-PBE.

Formation energy from raw total energies (eV per atom): -0.740

Cell: 6.8570 6.8570 7.5770 Å, 116.90 116.90 90.00°
Closest atoms and distances in Å follow each position.
Atoms (fractional coordinates):
1 Pr 0.6751 0.1751 0.0000  4 N 2.43-2.53
2 Pr 0.3249 0.8249 0.0000  4 N 2.43-2.53
3 Pr 0.8249 0.6751 0.0000  4 N 2.43-2.53
4 Pr 0.1751 0.3249 0.0000  4 N 2.43-2.53
5 Pr 0.2500 0.2500 0.5000  10 N 2.89-2.91
6 Pr 0.7500 0.7500 0.5000  10 N 2.89-2.91
7 Os 0.7500 0.2500 0.5000  4 N 1.86
8 Os 0.2500 0.7500 0.5000  4 N 1.86
9 N 0.9996 0.4996 0.7070  1 Os 1.86
10 N 0.7074 0.2074 0.7070  1 Os 1.86
11 N 0.2074 0.9996 0.7070  1 Os 1.86
12 N 0.4996 0.7074 0.7070  1 Os 1.86
13 N 0.0004 0.5004 0.2930  1 Os 1.86
14 N 0.2926 0.7926 0.2930  1 Os 1.86
15 N 0.7926 0.0004 0.2930  1 Os 1.86
16 N 0.5004 0.2926 0.2930  1 Os 1.86
17 N 0.5000 0.5000 0.0000  4 Pr 2.53
18 N 0.0000 0.0000 0.0000  4 Pr 2.53